Compound: CoTcSb2Ru
Source: the Alexandria database
Functional: PBE
Structure: optimized geometry

The space group is No. 123. The formation energy from raw total energies is 6.90 eV/f.u.

Cell lengths 5.0349, 5.0349, 4.6991 Å; angles 90.00, 90.00, 90.00 degrees
Atoms (fractional coordinates):
Co 0.0000 0.0000 0.0000
Tc 0.5000 0.5000 0.0000
Sb 0.0000 0.5000 0.5000
Sb 0.5000 0.0000 0.5000
Ru 0.5000 0.5000 0.5000